[1]
Below is a relaxed structure of Na2VIn2, with properties calculated at the GGA-PBE level.

```
Na2VIn2
1.0
7.3167 0.0000 0.0000
0.0000 7.3167 0.0000
0.0000 0.0000 5.1970
Na In V
4 4 2
direct
0.1704 0.6704 0.5000 Na
0.6704 0.8296 0.5000 Na
0.8296 0.3296 0.5000 Na
0.3296 0.1704 0.5000 Na
0.3512 0.8512 0.0000 In
0.8512 0.6488 0.0000 In
0.6488 0.1488 0.0000 In
0.1488 0.3512 0.0000 In
0.0000 0.0000 0.0000 V
0.5000 0.5000 0.0000 V
```

Computed properties:
crystal system: tetragonal
energy: -3.098 eV/atom
SG: No. 127

---

[2]
Below is a relaxed structure of PuTh2Sn2, with properties calculated at the GGA-PBE level.

```
PuTh2Sn2
1.0
5.2251 0.0000 0.0000
-2.6126 4.5251 0.0000
0.0000 0.0000 11.9707
Pu Th Sn
2 4 4
direct
0.0000 0.0000 0.2500 Pu
0.0000 0.0000 0.7500 Pu
0.6667 0.3333 0.7500 Th
0.0000 0.0000 0.0000 Th
0.0000 0.0000 0.5000 Th
0.3333 0.6667 0.2500 Th
0.3333 0.6667 0.6212 Sn
0.6667 0.3333 0.1212 Sn
0.6667 0.3333 0.3788 Sn
0.3333 0.6667 0.8788 Sn
```

Computed properties:
crystal system: hexagonal
energy: -7.721 eV/atom
SG: No. 194

---

[3]
Below is a relaxed structure of Hf6Tl3C, with properties calculated at the GGA-PBE level.

```
Hf6Tl3C
1.0
5.8808 0.0000 0.1175
0.0000 7.8810 0.0000
0.1732 0.0000 9.3831
Hf Tl C
12 6 2
direct
0.6573 0.1386 0.9578 Hf
0.6166 0.2480 0.5702 Hf
0.6539 0.4311 0.2845 Hf
0.3461 0.5689 0.7155 Hf
0.3834 0.7520 0.4298 Hf
0.3427 0.8614 0.0422 Hf
0.1573 0.3614 0.4578 Hf
0.1166 0.2520 0.0702 Hf
0.1539 0.0689 0.7845 Hf
0.8461 0.9311 0.2155 Hf
0.8834 0.7480 0.9298 Hf
0.8427 0.6386 0.5422 Hf
0.5880 0.9022 0.7171 Tl
0.5000 0.5000 0.0000 Tl
0.4120 0.0978 0.2829 Tl
0.0880 0.5978 0.2171 Tl
0.0000 0.0000 0.5000 Tl
0.9120 0.4022 0.7829 Tl
0.5000 0.5000 0.5000 C
0.0000 0.0000 0.0000 C
```

Computed properties:
crystal system: monoclinic
energy: -7.614 eV/atom
SG: No. 14

---

[4]
Below is a relaxed structure of CeSi2Pt5Au, with properties calculated at the GGA-PBE level.

```
CeSi2Pt5Au
1.0
-3.8885 -0.0954 1.1770
-0.0975 -4.0108 -0.6473
3.1627 -1.7404 10.3073
Ce Si Pt Au
1 2 5 1
direct
0.0000 0.0000 0.5000 Ce
0.5000 0.5000 0.2842 Si
0.5000 0.5000 0.7158 Si
0.0000 0.5000 0.1766 Pt
0.5000 0.0000 0.1766 Pt
0.0000 0.5000 0.8234 Pt
0.5000 0.0000 0.8234 Pt
0.5000 0.5000 0.5000 Pt
0.0000 0.0000 0.0000 Au
```

Computed properties:
crystal system: tetragonal
formation energy from raw total energies: -0.5703 eV per atom
SG: No. 123

---

[5]
Below is a relaxed structure of ZnCo2Ni, with properties calculated at the GGA-PBE level.

```
ZnCo2Ni
1.0
4.1589 0.0000 0.0000
0.0000 4.1589 0.0000
0.0000 0.0000 2.6698
Co Ni Zn
2 1 1
direct
0.0000 0.0000 0.0000 Co
0.5000 0.5000 0.0000 Co
0.5000 0.0000 0.5000 Ni
0.0000 0.5000 0.5000 Zn
```

Computed properties:
crystal system: tetragonal
energy: -5.205 eV/atom
SG: No. 123

---

[6]
Below is a relaxed structure of La12Er6Mg, with properties calculated at the GGA-PBE level.

```
La12Er6Mg
1.0
8.7890 -0.4417 -0.9594
-1.0208 8.7407 -0.9594
-0.4135 -0.4417 8.8315
La Er Mg
12 6 1
direct
0.5818 0.1663 0.5813 La
0.1663 0.5813 0.5818 La
0.5813 0.5818 0.1663 La
0.4182 0.8337 0.4187 La
0.8337 0.4187 0.4182 La
0.4187 0.4182 0.8337 La
0.2606 0.0013 0.7394 La
0.2606 0.7394 0.9987 La
0.9987 0.2606 0.7394 La
0.7394 0.9987 0.2606 La
0.7394 0.2606 0.0013 La
0.0013 0.7394 0.2606 La
0.1411 0.1424 0.4058 Er
0.8576 0.5942 0.8589 Er
0.5942 0.8589 0.8576 Er
0.8589 0.8576 0.5942 Er
0.1424 0.4058 0.1411 Er
0.4058 0.1411 0.1424 Er
0.0000 0.0000 0.0000 Mg
```

Computed properties:
crystal system: trigonal
energy: -4.510 eV/atom
SG: No. 148

---

[7]
Below is a relaxed structure of K3YBi2S6, with properties calculated at the GGA-PBE level.

```
K3YBi2S6
1.0
-0.5139 4.7085 -5.3645
-2.6405 -6.6062 -0.7727
-5.4623 2.9274 4.6837
K Y Bi S
3 1 2 6
direct
0.1695 0.8305 0.5000 K
0.8305 0.1695 0.5000 K
0.5000 0.5000 0.5000 K
0.0000 0.0000 0.0000 Y
0.3337 0.6663 0.0000 Bi
0.6663 0.3337 0.0000 Bi
0.9310 0.6056 0.7930 S
0.7439 0.7439 0.2076 S
0.0690 0.3944 0.2070 S
0.6056 0.9310 0.7930 S
0.2561 0.2561 0.7924 S
0.3944 0.0690 0.2070 S
```

Computed properties:
crystal system: monoclinic
formation energy from raw total energies: -1.1681 eV per atom
SG: No. 12

---

[8]
Below is a relaxed structure of Sm2SnI, with properties calculated at the GGA-PBE level.

```
Sm2SnI
1.0
-1.4333 3.1373 -2.8145
-4.4629 -6.1533 -1.0655
-3.9034 3.8832 6.3162
Sm Sn I
4 2 2
direct
0.7497 0.4994 0.1916 Sm
0.4835 0.9669 0.2043 Sm
0.5165 0.0331 0.7957 Sm
0.2503 0.5006 0.8084 Sm
0.1088 0.2175 0.0474 Sn
0.8912 0.7825 0.9526 Sn
0.6463 0.2927 0.5372 I
0.3537 0.7073 0.4628 I
```

Computed properties:
crystal system: monoclinic
formation energy from raw total energies: -0.8458 eV per atom
SG: No. 12

---

[9]
Below is a relaxed structure of LiNbHg, with properties calculated at the GGA-PBE level.

```
LiNbHg
1.0
0.0000 3.1531 3.1531
3.1531 0.0000 3.1531
3.1531 3.1531 0.0000
Nb Hg Li
1 1 1
direct
0.7500 0.7500 0.7500 Nb
0.0000 0.0000 0.0000 Hg
0.2500 0.2500 0.2500 Li
```

Computed properties:
crystal system: cubic
energy: -3.481 eV/atom
SG: No. 216

---

[10]
Below is a relaxed structure of TaCoNi4, with properties calculated at the GGA-PBE level.

```
TaCoNi4
1.0
0.0000 3.2992 3.2992
3.2992 0.0000 3.2992
3.2992 3.2992 0.0000
Ta Co Ni
1 1 4
direct
0.2500 0.2500 0.2500 Ta
0.0000 0.0000 0.0000 Co
0.6258 0.6258 0.1227 Ni
0.6258 0.1227 0.6258 Ni
0.6258 0.6258 0.6258 Ni
0.1227 0.6258 0.6258 Ni
```

Computed properties:
crystal system: cubic
energy: -7.177 eV/atom
SG: No. 216

---

[11]
Below is a relaxed structure of NaNp2UO8, with properties calculated at the GGA-PBE level.

```
NaNp2UO8
1.0
5.1268 0.0286 -0.0034
0.0775 5.1248 -0.0058
0.0045 0.0078 6.9072
Na Np U O
1 2 1 8
direct
0.0000 0.0000 0.5000 Na
0.5000 0.5000 0.7472 Np
0.5000 0.5000 0.2528 Np
0.0000 0.0000 0.0000 U
0.1964 0.8034 0.2192 O
0.6889 0.6890 0.0000 O
0.8035 0.1966 0.2192 O
0.8036 0.1966 0.7808 O
0.3111 0.3110 0.0000 O
0.1965 0.8034 0.7808 O
0.6717 0.6721 0.5000 O
0.3283 0.3279 0.5000 O
```

Computed properties:
crystal system: orthorhombic
formation energy from raw total energies: -2.8772 eV per atom
SG: No. 65

---

[12]
Below is a relaxed structure of Rb3LaDy2S6, with properties calculated at the GGA-PBE level.

```
Rb3LaDy2S6
1.0
7.2057 -0.0011 -0.0001
-3.6020 6.2408 -0.0001
-1.2021 -2.0814 7.6957
Rb La Dy S
3 1 2 6
direct
0.1655 0.8345 0.5000 Rb
0.8345 0.1655 0.5000 Rb
0.5000 0.5000 0.5000 Rb
0.0000 0.0000 0.0000 La
0.3332 0.6668 0.0000 Dy
0.6668 0.3332 0.0000 Dy
0.9354 0.5901 0.8064 S
0.7192 0.7192 0.1933 S
0.0646 0.4099 0.1936 S
0.5901 0.9354 0.8064 S
0.2808 0.2808 0.8067 S
0.4099 0.0646 0.1936 S
```

Computed properties:
crystal system: monoclinic
formation energy from raw total energies: -1.8650 eV per atom
SG: No. 12

---

Number 1: DOS(E_F) 7.74 states/eV per cell. Number 2: DOS(E_F) 6.80 states/eV per cell. Number 3: DOS(E_F) 13.33 states/eV per cell. Number 4: DOS(E_F) 7.95 states/eV per cell. Number 5: DOS(E_F) 6.87 states/eV per cell. Number 6: DOS(E_F) 25.98 states/eV per cell. Number 7: DOS(E_F) 0.00 states/eV per cell. Number 8: DOS(E_F) 6.32 states/eV per cell. Number 9: DOS(E_F) 0.23 states/eV per cell. Number 10: DOS(E_F) 4.14 states/eV per cell. Number 11: DOS(E_F) 16.29 states/eV per cell. Number 12: DOS(E_F) 0.00 states/eV per cell.